# 1
{
  "formula": "BaLi2MgNi",
  "functional": "PBE",
  "state": "optimized geometry",
  "lattice_angstrom": [[5.068, 0.000, 0.000], [0.000, 5.068, 0.000], [0.000, 0.000, 5.007]],
  "species": ["Mg", "Ba", "Li", "Ni", "Li"],
  "frac_coords": [[0.000, 0.000, 0.500], [0.500, 0.500, 0.500], [0.500, 0.000, 0.000], [0.000, 0.000, 0.000], [0.000, 0.500, 0.000]],
  "ef_kj_per_mol_atoms": 9.2,
  "dos_ef_per_ev_cell": 2.97,
  "sg": "P4/mmm",
  "volume_a3_per_atom": 25.7
}

***

# 2
{
  "formula": "Ba2LiMgNi",
  "functional": "PBE",
  "state": "optimized geometry",
  "lattice_angstrom": [[6.008, 0.000, 0.000], [0.000, 6.008, 0.000], [0.000, 0.000, 5.116]],
  "species": ["Ba", "Li", "Ba", "Mg", "Ni"],
  "frac_coords": [[0.000, 0.500, 0.000], [0.500, 0.500, 0.500], [0.500, 0.000, 0.000], [0.000, 0.000, 0.500], [0.000, 0.000, 0.000]],
  "de_polymorph_ev_per_fu": 0.000,
  "ef_kj_per_mol_atoms": 3.1,
  "dos_ef_per_ev_cell": 3.71,
  "sg": "P4/mmm",
  "volume_a3_per_atom": 36.9
}

***

# 3
{
  "formula": "Ba2LiMgO",
  "functional": "PBE",
  "state": "optimized geometry",
  "lattice_angstrom": [[5.777, 0.000, 0.000], [0.000, 5.777, 0.000], [0.000, 0.000, 4.282]],
  "species": ["Ba", "Li", "Mg", "Ba", "O"],
  "frac_coords": [[0.000, 0.500, 0.000], [0.000, 0.000, 0.500], [0.500, 0.500, 0.500], [0.500, 0.000, 0.000], [0.000, 0.000, 0.000]],
  "dos_ef_per_ev_cell": 4.65,
  "e_form_raw_mev_per_atom": -879,
  "sg": "P4/mmm",
  "volume_a3_per_atom": 28.6
}

***

# 4
{
  "formula": "BaLi2MgP2O8",
  "functional": "PBE",
  "state": "optimized geometry",
  "lattice_angstrom": [[-0.223, 4.481, -2.430], [0.437, -4.328, -2.665], [-7.156, -0.528, -0.316]],
  "species": ["O", "Ba", "O", "O", "O", "Li", "O", "P", "O", "P", "O", "Li", "Mg", "O"],
  "frac_coords": [[0.704, 0.064, 0.820], [0.000, 0.000, 0.500], [0.936, 0.640, 0.820], [0.333, 0.667, 0.465], [0.640, 0.704, 0.180], [0.667, 0.333, 0.238], [0.360, 0.296, 0.820], [0.667, 0.333, 0.751], [0.064, 0.360, 0.180], [0.333, 0.667, 0.249], [0.667, 0.333, 0.535], [0.333, 0.667, 0.762], [0.000, 0.000, 0.000], [0.296, 0.936, 0.180]],
  "dos_ef_per_ev_cell": 0.00,
  "e_form_raw_mev_per_atom": -2617,
  "sg": "P-3",
  "volume_a3_per_atom": 11.6
}

***

# 5
{
  "formula": "Ba2LiMgP",
  "functional": "PBE",
  "state": "optimized geometry",
  "lattice_angstrom": [[-1.047, 1.955, -5.961], [-6.229, -1.038, 0.754], [-0.556, 4.474, 1.565]],
  "species": ["P", "Ba", "Li", "Mg", "Ba"],
  "frac_coords": [[0.000, 0.000, 0.000], [0.000, 0.500, 0.000], [0.000, 0.000, 0.500], [0.500, 0.500, 0.500], [0.500, 0.000, 0.000]],
  "ef_kj_per_mol_atoms": -36.9,
  "dos_ef_per_ev_cell": 3.99,
  "sg": "P4/mmm",
  "volume_a3_per_atom": 38.6
}

***

# 6
{
  "formula": "Ba2Li3MgPb4",
  "functional": "PBE",
  "state": "optimized geometry",
  "lattice_angstrom": [[-4.431, -1.812, -1.191], [1.900, -4.551, -0.143], [-2.552, -1.433, 11.676]],
  "species": ["Pb", "Ba", "Pb", "Li", "Li", "Pb", "Li", "Mg", "Ba", "Pb"],
  "frac_coords": [[0.000, 0.000, 0.000], [0.000, 0.500, 0.747], [0.500, 0.000, 0.633], [0.000, 0.000, 0.500], [0.500, 0.000, 0.868], [0.500, 0.500, 0.000], [0.000, 0.500, 0.132], [0.500, 0.500, 0.500], [0.500, 0.000, 0.253], [0.000, 0.500, 0.367]],
  "ef_kj_per_mol_atoms": -38.2,
  "dos_ef_per_ev_cell": 6.22,
  "sg": "P-4m2",
  "volume_a3_per_atom": 29.3
}